! SiW2OF GGA+U relaxed; values from VASP
&SYSTEM
  ibrav = 0, nat = 5, ntyp = 4
/
ATOMIC_SPECIES
O 16.00 O.upf
F 19.00 F.upf
Si 28.09 Si.upf
W 183.84 W.upf
ATOMIC_POSITIONS crystal
O 0.500 0.500 0.500
F 0.000 0.000 0.500
Si 0.000 0.000 0.000
W 0.000 0.500 0.000
W 0.500 0.000 0.000
CELL_PARAMETERS angstrom
4.940 0.000 0.000
0.000 4.940 0.000
0.000 0.000 3.782
! Fermi-level density of states: 1.19 states/eV per cell
! E: -4.540 eV/atom